1.
DFT (PBE) results for a geometry-optimized CuPb3Cl2O4 structure. Values from VASP.

Geometry as Quantum ESPRESSO input:
```
&SYSTEM
  ibrav = 0, nat = 20, ntyp = 4
/
ATOMIC_SPECIES
Pb 207.20 Pb.upf
Cl 35.45 Cl.upf
O 16.00 O.upf
Cu 63.55 Cu.upf
CELL_PARAMETERS angstrom
-1.0629 -2.2273 -5.0049
1.5007 -6.3891 2.5246
-9.2953 -3.4688 3.5178
ATOMIC_POSITIONS angstrom
Pb -2.3786 -3.0053 -2.8238
Pb -0.2544 -5.9037 -1.9851
Pb -8.6031 -6.1816 3.0226
Pb -6.4684 -7.6124 0.0951
Pb -2.3891 -4.4729 0.9425
Pb -6.4789 -9.0799 3.8613
Cl -5.7720 -5.0817 1.9319
Cl 0.0290 -6.5312 1.3449
Cl -8.8865 -5.5540 -0.3074
Cl -3.0855 -7.0035 -0.8943
O -1.1729 -3.9900 -1.0761
O -4.4910 -8.1150 3.0097
O -0.6448 -2.8835 1.4101
O -5.1305 -9.5040 0.6527
O -7.6847 -8.0953 2.1136
O -4.3665 -3.9702 -1.9722
O -8.2127 -9.2017 -0.3726
O -3.7270 -2.5813 0.3848
Cu -5.1791 -2.8481 -0.7435
Cu -4.6477 -1.7344 1.7589
```

## Properties
- Raw formation energy: -0.921 eV per atom
- Volume: 402 Å³ per cell
- Total moment: 0.00 μB/f.u.



2.
DFT (PBE) results for a geometry-optimized BiTeS2Cl structure. Values from VASP.

Geometry as Quantum ESPRESSO input:
```
&SYSTEM
  ibrav = 0, nat = 5, ntyp = 4
/
ATOMIC_SPECIES
Cl 35.45 Cl.upf
S 32.06 S.upf
Te 127.60 Te.upf
Bi 208.98 Bi.upf
CELL_PARAMETERS angstrom
-2.4073 4.1265 2.0595
0.8079 -1.9100 4.7712
4.4134 2.4568 0.2361
ATOMIC_POSITIONS angstrom
Cl 2.2067 1.2284 0.1181
S 0.4040 -0.9550 2.3856
S -1.2037 2.0633 1.0298
Te 0.0000 0.0000 0.0000
Bi 1.4070 2.3367 3.5334
```

## Properties
- Raw formation energy: 0.307 eV per atom
- Volume: 137 Å³ per cell
- Total moment: 0.00 μB/f.u.



| no. | DOS at the Fermi energy (states/eV/atom) |
| --- | --- |
| 1 | 0.37 |
| 2 | 0.56 |